1.
Material: NdAlGe2Pd4
Method: DFT, PBE
State: relaxed

As for the formation energy: -0.698 eV/atom.

The structure belongs to space group R-3m (No. 166, hexagonal axes); the cell edges are 4.3227, 4.3227 and 26.4375 Å and the angles 90.00°, 90.00° and 120.00°. The asymmetric unit holds Nd at (0.0000, 0.0000, 0.0000), Al at (0.0000, 0.0000, 0.5000), Ge at (0.0000, 0.0000, 0.2534), Pd at (0.0000, 0.0000, 0.1372) and Pd at (0.0000, 0.0000, 0.4074).

2.
Material: Nd2Al3GePd4
Method: DFT, PBE
State: relaxed

As for the formation energy: -0.848 eV/atom.

The structure belongs to space group P-4m2 (No. 115); the cell edges are 4.349, 4.349 and 10.220 Å and the angles 90.00°, 90.00° and 90.00°. The asymmetric unit holds Nd at (0.000, 0.500, 0.246), Al at (0.000, 0.000, 0.000), Al at (0.000, 0.500, 0.625), Ge at (0.500, 0.500, 0.000), Pd at (0.000, 0.000, 0.500), Pd at (0.000, 0.500, 0.869) and Pd at (0.500, 0.500, 0.500).

3.
Material: Nd2AlGe4Pd3
Method: DFT, PBE
State: relaxed

As for the formation energy: -0.771 eV/atom.

The structure belongs to space group P-4m2 (No. 115); the cell edges are 4.234, 4.234 and 10.830 Å and the angles 90.00°, 90.00° and 90.00°. The asymmetric unit holds Nd at (0.000, 0.500, 0.246), Al at (0.000, 0.000, 0.500), Ge at (0.000, 0.000, 0.000), Ge at (0.000, 0.500, 0.642), Ge at (0.500, 0.500, 0.000), Pd at (0.000, 0.500, 0.869) and Pd at (0.500, 0.500, 0.500).

4.
Material: Nd2AlGe3Pd4
Method: DFT, PBE
State: relaxed

As for the formation energy: -0.856 eV/atom.

The structure belongs to space group P-4m2 (No. 115); the cell edges are 4.327, 4.327 and 10.272 Å and the angles 90.00°, 90.00° and 90.00°. The asymmetric unit holds Nd at (0.000, 0.500, 0.249), Al at (0.000, 0.000, 0.500), Ge at (0.000, 0.500, 0.870), Ge at (0.500, 0.500, 0.500), Pd at (0.000, 0.000, 0.000), Pd at (0.000, 0.500, 0.629) and Pd at (0.500, 0.500, 0.000).

5.
Material: Nd2AlGePd6
Method: DFT, PBE
State: relaxed

As for the formation energy: -0.703 eV/atom.

The structure belongs to space group C2/m (No. 12); the cell edges are 11.794, 5.550 and 8.063 Å and the angles 90.00°, 132.63° and 90.00°. The asymmetric unit holds Nd at (0.005, 0.000, 0.253), Al at (0.000, 0.500, 0.500), Ge at (0.000, 0.500, 0.000), Pd at (0.164, 0.500, 0.912) and Pd at (0.248, 0.250, 0.707).

6.
Material: Nd3AlGe2Pd9
Method: DFT, PBE
State: relaxed

As for the formation energy: -0.578 eV/atom.

The structure belongs to space group P-3m1 (No. 164); the cell edges are 6.4735, 6.4735 and 8.9046 Å and the angles 90.00°, 90.00° and 120.00°. The asymmetric unit holds Nd at (0.0000, 0.0000, 0.0000), Nd at (0.3333, 0.6667, 0.7011), Al at (0.0000, 0.0000, 0.5000), Ge at (0.3333, 0.6667, 0.1832), Pd at (0.0000, 0.5000, 0.0000) and Pd at (0.1406, 0.2812, 0.2872).

7.
Material: Pm2Nd2AlGe4
Method: DFT, PBE
State: relaxed

As for the formation energy: -0.326 eV/atom.

The structure belongs to space group I4/mmm (No. 139); the cell edges are 7.104, 7.104 and 8.922 Å and the angles 90.00°, 90.00° and 90.00°. The asymmetric unit holds Pm at (0.000, 0.000, 0.188), Nd at (0.000, 0.500, 0.250), Al at (0.000, 0.000, 0.500) and Ge at (0.248, 0.248, 0.500).

8.
Material: PmNdAl2Ge
Method: DFT, PBE
State: relaxed

As for the formation energy: -0.445 eV/atom.

The structure belongs to space group Imm2 (No. 44); the cell edges are 4.385, 4.498 and 12.659 Å and the angles 90.00°, 90.00° and 90.00°. The asymmetric unit holds Pm at (0.000, 0.000, 0.000), Nd at (0.000, 0.500, 0.245), Al at (0.000, 0.000, 0.472), Al at (0.000, 0.500, 0.845) and Ge at (0.000, 0.500, 0.649).

9.
Material: Nd2AlGePt6
Method: DFT, PBE
State: relaxed

As for the formation energy: -0.875 eV/atom.

The structure belongs to space group P-1 (No. 2); the cell edges are 5.505, 6.578 and 6.776 Å and the angles 81.95°, 66.09° and 65.32°. The asymmetric unit holds Nd at (0.040, 0.214, 0.205), Al at (0.500, 0.500, 0.000), Ge at (0.500, 0.000, 0.500), Pt at (0.001, 0.752, 0.244), Pt at (0.358, 0.394, 0.391) and Pt at (0.497, 0.248, 0.757).

10.
Material: Nd2AlGe3Pt4
Method: DFT, PBE
State: relaxed

As for the formation energy: -0.997 eV/atom.

The structure belongs to space group P-4m2 (No. 115); the cell edges are 4.354, 4.354 and 10.187 Å and the angles 90.00°, 90.00° and 90.00°. The asymmetric unit holds Nd at (0.000, 0.500, 0.249), Al at (0.500, 0.500, 0.000), Ge at (0.000, 0.000, 0.000), Ge at (0.000, 0.500, 0.630), Pt at (0.000, 0.000, 0.500), Pt at (0.000, 0.500, 0.872) and Pt at (0.500, 0.500, 0.500).

11.
Material: Nd3AlGe2Pt9
Method: DFT, PBE
State: relaxed

As for the formation energy: -0.668 eV/atom.

The structure belongs to space group P-3m1 (No. 164); the cell edges are 6.4931, 6.4931 and 9.0486 Å and the angles 90.00°, 90.00° and 120.00°. The asymmetric unit holds Nd at (0.0000, 0.0000, 0.0000), Nd at (0.3333, 0.6667, 0.7179), Al at (0.0000, 0.0000, 0.5000), Ge at (0.3333, 0.6667, 0.1883), Pt at (0.0000, 0.5000, 0.0000) and Pt at (0.1387, 0.2775, 0.2846).

12.
Material: Nd2Al3GePt4
Method: DFT, PBE
State: relaxed

As for the formation energy: -1.083 eV/atom.

The structure belongs to space group P-4m2 (No. 115); the cell edges are 4.339, 4.339 and 10.232 Å and the angles 90.00°, 90.00° and 90.00°. The asymmetric unit holds Nd at (0.000, 0.500, 0.247), Al at (0.000, 0.000, 0.000), Al at (0.000, 0.500, 0.626), Ge at (0.500, 0.500, 0.000), Pt at (0.000, 0.000, 0.500), Pt at (0.000, 0.500, 0.869) and Pt at (0.500, 0.500, 0.500).

13.
Material: Nd2AlGe2Rh5
Method: DFT, PBE
State: relaxed

As for the formation energy: -0.753 eV/atom.

The structure belongs to space group P4/mbm (No. 127); the cell edges are 9.955, 9.955 and 3.554 Å and the angles 90.00°, 90.00° and 90.00°. The asymmetric unit holds Nd at (0.175, 0.325, 0.000), Al at (0.000, 0.000, 0.000), Ge at (0.124, 0.624, 0.000), Rh at (0.000, 0.500, 0.500) and Rh at (0.065, 0.793, 0.500).

14.
Material: Nd2Al2GeRh5
Method: DFT, PBE
State: relaxed

As for the formation energy: -0.743 eV/atom.

The structure belongs to space group P4/mbm (No. 127); the cell edges are 9.996, 9.996 and 3.480 Å and the angles 90.00°, 90.00° and 90.00°. The asymmetric unit holds Nd at (0.176, 0.324, 0.000), Al at (0.122, 0.622, 0.000), Ge at (0.000, 0.000, 0.000), Rh at (0.000, 0.500, 0.500) and Rh at (0.064, 0.797, 0.500).

15.
Material: NdAlGeRh
Method: DFT, PBE
State: relaxed

As for the formation energy: -0.779 eV/atom.

The structure belongs to space group R3m (No. 160, hexagonal axes); the cell edges are 4.2130, 4.2130 and 15.8227 Å and the angles 90.00°, 90.00° and 120.00°. The asymmetric unit holds Nd at (0.0000, 0.0000, 0.0000), Al at (0.0000, 0.0000, 0.2075), Ge at (0.0000, 0.0000, 0.7843) and Rh at (0.0000, 0.0000, 0.4994).

16.
Material: Nd2AlGe4Rh3
Method: DFT, PBE
State: relaxed

As for the formation energy: -0.788 eV/atom.

The structure belongs to space group P-4m2 (No. 115); the cell edges are 4.243, 4.243 and 10.450 Å and the angles 90.00°, 90.00° and 90.00°. The asymmetric unit holds Nd at (0.000, 0.500, 0.241), Al at (0.000, 0.000, 0.500), Ge at (0.000, 0.000, 0.000), Ge at (0.000, 0.500, 0.644), Ge at (0.500, 0.500, 0.000), Rh at (0.000, 0.500, 0.878) and Rh at (0.500, 0.500, 0.500).

17.
Material: NdAl2GeRu2
Method: DFT, PBE
State: relaxed

As for the formation energy: -0.278 eV/atom.

The structure belongs to space group P4/mmm (No. 123); the cell edges are 4.541, 4.541 and 5.773 Å and the angles 90.00°, 90.00° and 90.00°. The asymmetric unit holds Nd at (0.000, 0.000, 0.000), Al at (0.500, 0.500, 0.243), Ge at (0.000, 0.000, 0.500) and Ru at (0.000, 0.500, 0.500).

18.
Material: Nd2AlSiGe
Method: DFT, PBE
State: relaxed

As for the total energy: -5.18 eV per atom.

The structure belongs to space group P2_1/m (No. 11); the cell edges are 7.340, 4.132 and 8.821 Å and the angles 90.00°, 107.79° and 90.00°. The asymmetric unit holds Nd at (0.170, 0.250, 0.412), Nd at (0.258, 0.250, 0.965), Al at (0.488, 0.750, 0.273), Si at (0.301, 0.750, 0.703) and Ge at (0.147, 0.750, 0.170).

19.
Material: Nd2AlSnGe
Method: DFT, PBE
State: relaxed

As for the formation energy: -0.593 eV/atom.

The structure belongs to space group P2_1/m (No. 11); the cell edges are 7.212, 4.372 and 9.031 Å and the angles 90.00°, 103.99° and 90.00°. The asymmetric unit holds Nd at (0.201, 0.250, 0.414), Nd at (0.258, 0.250, 0.986), Al at (0.474, 0.750, 0.267), Sn at (0.294, 0.750, 0.703) and Ge at (0.133, 0.750, 0.178).

20.
Material: TbNdAlGe
Method: DFT, PBE
State: relaxed

As for the formation energy: -0.674 eV/atom.

The structure belongs to space group Amm2 (No. 38); the cell edges are 4.088, 4.464 and 11.112 Å and the angles 90.00°, 90.00° and 90.00°. The asymmetric unit holds Tb at (0.000, 0.000, 0.000), Nd at (0.500, 0.000, 0.718), Al at (0.500, 0.000, 0.433) and Ge at (0.000, 0.000, 0.285).

21.
Material: NdYAlGe
Method: DFT, PBE
State: relaxed

As for the formation energy: -0.692 eV/atom.

The structure belongs to space group Amm2 (No. 38); the cell edges are 4.083, 4.461 and 11.084 Å and the angles 90.00°, 90.00° and 90.00°. The asymmetric unit holds Nd at (0.000, 0.000, 0.000), Y at (0.500, 0.000, 0.281), Al at (0.000, 0.000, 0.716) and Ge at (0.500, 0.000, 0.566).

22.
Material: Al2Ni2Ge
Method: DFT, PBE
State: relaxed

As for the formation energy: -0.246 eV/atom.

The structure belongs to space group P4/mbm (No. 127); the cell edges are 7.190, 7.190 and 2.718 Å and the angles 90.00°, 90.00° and 90.00°. The asymmetric unit holds Al at (0.141, 0.359, 0.000), Ni at (0.151, 0.651, 0.500) and Ge at (0.000, 0.000, 0.000).